Computed, not measured: a geometry-optimized Sr2TlSn structure at the PBE level of DFT.

Geometry as extended XYZ:
```
8
Lattice="6.632 0.000 0.000 0.000 4.783 0.000 -3.031 0.000 9.100" Properties=species:S:1:pos:R:3 pbc="T T T"
Sr 0.016 1.196 3.889
Sr 1.699 3.587 0.585
Sr 1.903 1.196 8.515
Sr 3.585 3.587 5.211
Tl 0.376 3.587 6.454
Tl 3.226 1.196 2.646
Sn -1.447 1.196 7.161
Sn 5.048 3.587 1.939
```

The total magnetic moment comes out at 0.0 μB/cell. The calculation puts the formation enthalpy at 0 K at -2.18 eV/f.u.